Here is crystalline RbCdInAu3 at its relaxed geometry from Alexandria via LeMat-Bulk. Energies are from PBE-GGA.

Structure (CIF):
```
data_RbCdInAu3
_chemical_formula_sum 'Rb4 Cd4 In4 Au12'
_space_group_name_H-M_alt 'C m c m'
_space_group_IT_number 63
_space_group_name_Hall '-C 2c 2'
_cell_length_a 7.036
_cell_length_b 13.600
_cell_length_c 7.650
_cell_angle_alpha 90.00
_cell_angle_beta 90.00
_cell_angle_gamma 90.00
loop_
_atom_site_label
_atom_site_type_symbol
_atom_site_fract_x
_atom_site_fract_y
_atom_site_fract_z
Rb1 Rb 0.000 0.217 0.250
Cd1 Cd 0.000 0.500 0.250
In1 In 0.000 0.099 0.750
Au1 Au 0.000 0.296 0.750
Au2 Au 0.213 0.000 0.000
```

## Properties
As for the density: 8.20 g/cm³. As for the calculated total energy: -0.0943 Ha/atom. The energy of formation from the pure elements is -0.16 eV/atom.